[1]
PBE-GGA SiMo2Rh, optimized geometry; DFT total energy = -35.125 eV/cell; M_tot = 0.000 μB per formula unit; mass density = 9.16 g cm⁻³; formation energy without anion corrections = -172 meV/atom; space group = Cmmm
1.0
-2.752 -2.503 -3.113
-1.328 0.014 4.665
-1.568 2.284 -0.452
Si Rh Mo
1 1 2
direct
0.000 0.500 0.500
0.500 0.000 0.500
0.500 0.500 0.000
0.000 0.000 0.000

---

[2]
PBE-GGA ZnSi2N, optimized geometry; DFT total energy = -39.307 eV/cell; M_tot = 0.000 μB per formula unit; mass density = 3.81 g cm⁻³; formation energy without anion corrections = 198 meV/atom; space group = I-42d
1.0
-4.629 -1.312 -0.927
-0.662 -1.018 4.747
-4.117 3.471 2.699
N Si Zn
2 4 2
direct
0.500 0.500 0.000
0.250 0.750 0.500
0.211 0.625 0.250
0.539 0.125 0.250
0.375 0.461 0.750
0.875 0.789 0.750
0.000 0.000 0.000
0.750 0.250 0.500

---

[3]
PBE-GGA HgBi6Pb8, optimized geometry; DFT total energy = -51.523 eV/cell; M_tot = 0.000 μB per formula unit; mass density = 9.78 g cm⁻³; space group = R-3; ΔE_f = 115 meV per atom
1.0
-5.423 4.288 5.206
-5.971 -5.129 3.598
1.485 -1.519 8.390
Bi Pb Hg
6 8 1
direct
0.040 0.376 0.686
0.624 0.314 0.960
0.376 0.686 0.040
0.314 0.960 0.624
0.960 0.624 0.314
0.686 0.040 0.376
0.649 0.832 0.101
0.271 0.271 0.271
0.101 0.649 0.832
0.832 0.101 0.649
0.899 0.351 0.168
0.351 0.168 0.899
0.168 0.899 0.351
0.729 0.729 0.729
0.000 0.000 0.000

---

[4]
PBE-GGA CeTl2S2Cl2, optimized geometry; DFT total energy = -31.697 eV/cell; M_tot = 0.131 μB per formula unit; mass density = 4.91 g cm⁻³; formation energy without anion corrections = -1297 meV/atom; space group = I4/mmm
1.0
5.368 0.000 0.000
0.000 5.368 0.000
-2.684 -2.684 8.034
S Cl Ce Tl
2 2 1 2
direct
0.500 0.000 0.000
0.000 0.500 0.000
0.167 0.167 0.334
0.833 0.833 0.666
0.000 0.000 0.000
0.374 0.374 0.748
0.626 0.626 0.252

---

- What is the mass density in the third record?
  9.78 g cm⁻³

---

- Look up the DFT total energy of the second one.
  -39.307 eV/cell

---

- Which value of DFT total energy does entry 4 give?
  -31.697 eV/cell